The following is a PBE-GGA calculation of crystalline ThZn6Ni4 at its relaxed geometry, from Alexandria via LeMat-Bulk.

Unit cell a=6.2887 b=6.2887 c=9.0731 alpha=90.00 beta=90.00 gamma=90.00
Space group I-42m (No. 121)
One atom of each set of equivalent atoms:
Th: 0.0000 0.0000 0.0000
Zn: 0.0000 0.5000 0.0000
Zn: 0.1886 0.1886 0.7031
Ni: 0.1688 0.1688 0.4288

Formation energy: -163 kJ/mol of formula units
E_tot: -3.63 eV/atom
Magnetization: 0.00 μB per formula unit
N(E_F): 0.560 states/eV per atom